# CuBAs2Se

An optimized crystal structure of CuBAs2Se (PBE, the Alexandria database).

Cell lengths 4.3760, 4.3760, 4.4461 Å; angles 90.00, 90.00, 90.00 degrees
Fractional coordinates of all 5 atoms:
Se: 0.0000 0.0000 0.5000
Cu: 0.5000 0.5000 0.5000
As: 0.5000 0.0000 0.0000
As: 0.0000 0.5000 0.0000
B: 0.0000 0.0000 0.0000

Summary:
The calculation puts the total energy at -3.8326 eV/atom. For the formation energy (no corrections), the calculation gives 879 meV/atom.